Version 1
Here is an optimized crystal structure of Al3ZnNi from Alexandria via LeMat-Bulk. Energies are from PBE-GGA.

For the density of states at the Fermi level, the calculation gives 6.57 states/eV per cell.

The space group is P-1 (No. 2) and the conventional cell measures 4.6116, 8.5057 and 8.5113 Å, with angles of 63.39, 89.90 and 89.90 degrees. The asymmetric unit holds Al at (0.0006, 0.1545, 0.3455), Al at (0.0861, 0.8101, 0.3102), Al at (0.2493, 0.9396, 0.9410), Al at (0.2498, 0.4406, 0.4400), Al at (0.4124, 0.3088, 0.8089), Al at (0.4994, 0.6545, 0.8456), Zn at (0.0456, 0.5902, 0.0909), Zn at (0.4542, 0.0904, 0.5910), Ni at (0.2504, 0.1153, 0.1150) and Ni at (0.2500, 0.6150, 0.6153).

Version 2
Here is an optimized crystal structure of Al3ZnNi from Alexandria via LeMat-Bulk. Energies are from PBE-GGA.

For the density of states at the Fermi level, the calculation gives 1.28 states/eV per cell.

The space group is Pm-3m (No. 221) and the conventional cell measures 4.5147, 4.5147 and 4.5147 Å, with angles of 90.00, 90.00 and 90.00 degrees. The asymmetric unit holds Al at (0.0000, 0.0000, 0.5000), Zn at (0.5000, 0.5000, 0.5000) and Ni at (0.0000, 0.0000, 0.0000).

Which of them is most stable? Easy: version 1.

Version 1
Here is an optimized crystal structure of ZrAl2Ni4 from Alexandria via LeMat-Bulk. Energies are from PBE-GGA.

For the density of states at the Fermi level, the calculation gives 8.70 states/eV per cell.

The space group is P-3m1 (No. 164) and the conventional cell measures 2.7854, 2.7854 and 14.8393 Å, with angles of 90.00, 90.00 and 120.00 degrees. The asymmetric unit holds Zr at (0.0000, 0.0000, 0.0000), Al at (0.3333, 0.6667, 0.6879), Ni at (0.3333, 0.6667, 0.4346) and Ni at (0.3333, 0.6667, 0.8478).

Version 2
Here is an optimized crystal structure of ZrAl2Ni4 from Alexandria via LeMat-Bulk. Energies are from PBE-GGA.

For the density of states at the Fermi level, the calculation gives 9.76 states/eV per cell.

The space group is P6_3mc (No. 186) and the conventional cell measures 3.8967, 3.8967 and 15.9928 Å, with angles of 90.00, 90.00 and 120.00 degrees. The asymmetric unit holds Zr at (0.0000, 0.0000, 0.0000), Al at (0.3333, 0.6667, 0.2442), Al at (0.3333, 0.6667, 0.8654), Ni at (0.0000, 0.0000, 0.1652), Ni at (0.0000, 0.0000, 0.3186), Ni at (0.3333, 0.6667, 0.0939) and Ni at (0.3333, 0.6667, 0.4023).

Version 3
Here is an optimized crystal structure of ZrAl2Ni4 from Alexandria via LeMat-Bulk. Energies are from PBE-GGA.

For the density of states at the Fermi level, the calculation gives 4.77 states/eV per cell.

The space group is P3m1 (No. 156) and the conventional cell measures 3.9640, 3.9640 and 7.7016 Å, with angles of 90.00, 90.00 and 120.00 degrees. The asymmetric unit holds Zr at (0.0000, 0.0000, 0.0000), Al at (0.3333, 0.6667, 0.7200), Al at (0.6667, 0.3333, 0.4822), Ni at (0.0000, 0.0000, 0.3279), Ni at (0.0000, 0.0000, 0.6398), Ni at (0.6667, 0.3333, 0.1664) and Ni at (0.6667, 0.3333, 0.8141).

Version 4
Here is an optimized crystal structure of ZrAl2Ni4 from Alexandria via LeMat-Bulk. Energies are from PBE-GGA.

For the density of states at the Fermi level, the calculation gives 8.63 states/eV per cell.

The space group is P2_1/m (No. 11) and the conventional cell measures 5.1963, 4.1239 and 8.9944 Å, with angles of 90.00, 102.97 and 90.00 degrees. The asymmetric unit holds Zr at (0.0985, 0.2500, 0.2613), Al at (0.2819, 0.2500, 0.9098), Al at (0.3392, 0.7500, 0.5525), Ni at (0.0906, 0.2500, 0.6082), Ni at (0.1844, 0.7500, 0.0460), Ni at (0.4395, 0.7500, 0.3094) and Ni at (0.4528, 0.7500, 0.8298).

Which of them is most stable? Easy: version 4.